Record 1
RbLaHgTe3 | PBE-GGA | relaxed

Values from the calculation:
Total DFT energy (no corrections): -3.63 eV per atom
Symmetry: No. 11
Uncorrected formation energy: -1.027 eV per atom
Calculated density: 5.51 g/cm3
Size of the total moment: 0.000 Bohr magnetons per cell

Cell: 4.6894 9.7719 11.1136 Å, 106.98 90.00 90.00°
Atoms (fractional coordinates):
Te: 0.7500 0.4645 0.1583
Te: 0.2500 0.0875 0.8721
Te: 0.2500 0.5355 0.8417
Te: 0.2500 0.7773 0.4574
Te: 0.7500 0.9125 0.1279
Te: 0.7500 0.2227 0.5426
Hg: 0.2500 0.0911 0.6196
Hg: 0.7500 0.9089 0.3804
Rb: 0.7500 0.7752 0.7437
Rb: 0.2500 0.2248 0.2563
La: 0.2500 0.6820 0.1391
La: 0.7500 0.3180 0.8609

Record 2
RbLaHg2Te4 | PBE-GGA | relaxed

Values from the calculation:
Total DFT energy (no corrections): -3.08 eV per atom
Symmetry: No. 23
Uncorrected formation energy: -0.696 eV per atom
Calculated density: 5.60 g/cm3
Size of the total moment: 0.000 Bohr magnetons per cell

Cell: 7.7537 7.6502 7.6502 Å, 73.27 59.55 59.55°
Atoms (fractional coordinates):
Rb: 0.0000 0.0000 0.0000
Hg: 0.8222 0.6778 0.6778
Hg: 0.1778 0.3222 0.3222
Te: 0.4562 0.1138 0.4978
Te: 0.0678 0.8862 0.5022
Te: 0.9322 0.4978 0.1138
Te: 0.5438 0.5022 0.8862
La: 0.5000 0.5000 0.5000

Record 3
Rb2LaHg2Te4 | PBE-GGA | relaxed

Values from the calculation:
Total DFT energy (no corrections): -3.08 eV per atom
Symmetry: No. 12
Uncorrected formation energy: -0.850 eV per atom
Calculated density: 5.79 g/cm3
Size of the total moment: 0.000 Bohr magnetons per cell

Cell: 5.0399 8.5983 8.9012 Å, 108.09 106.45 90.00°
Atoms (fractional coordinates):
Rb: 0.8672 0.4196 0.7345
Rb: 0.1328 0.5804 0.2655
Te: 0.5041 0.7527 0.0082
Te: 0.7979 0.8145 0.5958
Te: 0.4959 0.2473 0.9918
Te: 0.2021 0.1855 0.4042
Hg: 0.3316 0.9936 0.6633
Hg: 0.6684 0.0064 0.3367
La: 0.0000 0.0000 0.0000

Record 4
RbLa2VHg | PBE-GGA | relaxed

Values from the calculation:
Total DFT energy (no corrections): -3.23 eV per atom
ΔH_f (0 K): 814 meV per atom
Symmetry: No. 123
Calculated density: 5.25 g/cm3
Size of the total moment: 0.358 Bohr magnetons per cell

Cell: 6.0926 5.2402 6.0926 Å, 90.00 90.00 90.00°
Site moments in Bohr magnetons follow the coordinates.
Atoms (fractional coordinates):
Rb: 0.5000 0.5000 0.5000  0.00
Hg: 0.0000 0.0000 0.0000  0.00
V: 0.0000 0.5000 0.0000  0.03
La: 0.0000 0.0000 0.5000  0.03
La: 0.5000 0.0000 0.0000  0.07

Record 5
RbLaYHg2 | PBE-GGA | relaxed

Values from the calculation:
Total DFT energy (no corrections): -1.79 eV per atom
ΔH_f (0 K): 803 meV per atom
Symmetry: No. 123
Calculated density: 6.36 g/cm3
Size of the total moment: 0.745 Bohr magnetons per cell

Cell: 5.7409 5.6578 5.7409 Å, 90.00 90.00 90.00°
Site moments in Bohr magnetons follow the coordinates.
Atoms (fractional coordinates):
Hg: 0.5000 0.0000 0.0000  0.00
Hg: 0.0000 0.0000 0.5000  0.00
La: 0.5000 0.5000 0.5000  0.15
Rb: 0.0000 0.0000 0.0000  0.01
Y: 0.0000 0.5000 0.0000  0.20

Record 6
La4ReHg | PBE-GGA | relaxed

Values from the calculation:
Offset from the most stable computed form: 574 kJ/mol of formula units
Total DFT energy (no corrections): -4.59 eV per atom
ΔH_f (0 K): 822 meV per atom
Symmetry: No. 216
Calculated density: 9.23 g/cm3
Size of the total moment: 0.001 Bohr magnetons per cell

Cell: 6.2117 6.2117 6.2117 Å, 60.00 60.00 60.00°
Atoms (fractional coordinates):
La: 0.3766 0.3766 0.3766
La: 0.3766 0.3766 0.8703
La: 0.3766 0.8703 0.3766
La: 0.8703 0.3766 0.3766
Re: 0.7500 0.7500 0.7500
Hg: 0.0000 0.0000 0.0000

Record 7
La4ReHg | PBE-GGA | relaxed

Values from the calculation:
Offset from the most stable computed form: 0 kJ/mol of formula units
Total DFT energy (no corrections): -5.58 eV per atom
ΔH_f (0 K): -169 meV per atom
Symmetry: No. 15
Calculated density: 8.37 g/cm3
Size of the total moment: 0.000 Bohr magnetons per cell

Cell: 6.4410 8.1372 8.1372 Å, 112.55 100.00 100.00°
Atoms (fractional coordinates):
Hg: 0.7500 0.6233 0.3767
Hg: 0.2500 0.3767 0.6233
La: 0.0489 0.9380 0.2768
La: 0.1089 0.3601 0.2052
La: 0.5489 0.2768 0.9380
La: 0.3911 0.7948 0.6399
La: 0.6089 0.2052 0.3601
La: 0.8911 0.6399 0.7948
La: 0.4511 0.7232 0.0620
La: 0.9511 0.0620 0.7232
Re: 0.7500 0.9984 0.0016
Re: 0.2500 0.0016 0.9984

Record 8
LaRe3Hg | PBE-GGA | relaxed

Values from the calculation:
Offset from the most stable computed form: 0 kJ/mol of formula units
Total DFT energy (no corrections): -6.08 eV per atom
ΔH_f (0 K): 2435 meV per atom
Symmetry: No. 221
Calculated density: 12.10 g/cm3
Size of the total moment: 0.000 Bohr magnetons per cell

Cell: 4.9766 4.9766 4.9766 Å, 90.00 90.00 90.00°
Atoms (fractional coordinates):
Re: 0.0000 0.5000 0.0000
Re: 0.5000 0.0000 0.0000
Re: 0.0000 0.0000 0.5000
La: 0.5000 0.5000 0.5000
Hg: 0.0000 0.0000 0.0000

Record 9
LaReHg3 | PBE-GGA | relaxed

Values from the calculation:
Offset from the most stable computed form: 0 kJ/mol of formula units
Total DFT energy (no corrections): -3.23 eV per atom
ΔH_f (0 K): 423 meV per atom
Symmetry: No. 221
Calculated density: 10.92 g/cm3
Size of the total moment: 0.000 Bohr magnetons per cell

Cell: 5.2040 5.2040 5.2040 Å, 90.00 90.00 90.00°
Atoms (fractional coordinates):
Hg: 0.0000 0.5000 0.0000
Hg: 0.5000 0.0000 0.0000
Hg: 0.0000 0.0000 0.5000
Re: 0.0000 0.0000 0.0000
La: 0.5000 0.5000 0.5000

Record 10
LaRe3Hg | PBE-GGA | relaxed

Values from the calculation:
Offset from the most stable computed form: 276 kJ/mol of formula units
Total DFT energy (no corrections): -5.51 eV per atom
ΔH_f (0 K): 3006 meV per atom
Symmetry: No. 221
Calculated density: 12.93 g/cm3
Size of the total moment: 0.000 Bohr magnetons per cell

Cell: 4.8678 4.8678 4.8678 Å, 90.00 90.00 90.00°
Atoms (fractional coordinates):
Hg: 0.5000 0.5000 0.5000
Re: 0.0000 0.5000 0.0000
Re: 0.5000 0.0000 0.0000
Re: 0.0000 0.0000 0.5000
La: 0.0000 0.0000 0.0000

Record 11
La2ReHg | PBE-GGA | relaxed

Values from the calculation:
Offset from the most stable computed form: 72 kJ/mol of formula units
Total DFT energy (no corrections): -5.50 eV per atom
ΔH_f (0 K): 154 meV per atom
Symmetry: No. 44
Calculated density: 10.54 g/cm3
Size of the total moment: 0.000 Bohr magnetons per cell

Cell: 6.4753 6.4753 5.1507 Å, 66.54 66.54 32.20°
Atoms (fractional coordinates):
Hg: 0.2032 0.2032 0.2968
La: 0.9912 0.9912 0.0087
La: 0.7983 0.7983 0.7015
Re: 0.5074 0.5074 0.4930

Record 12
La2ReHg | PBE-GGA | relaxed

Values from the calculation:
Offset from the most stable computed form: 117 kJ/mol of formula units
Total DFT energy (no corrections): -5.38 eV per atom
ΔH_f (0 K): 271 meV per atom
Symmetry: No. 119
Calculated density: 11.25 g/cm3
Size of the total moment: 0.004 Bohr magnetons per cell

Cell: 5.6974 5.6974 5.6974 Å, 132.68 132.68 69.15°
Atoms (fractional coordinates):
Re: 0.5000 0.5000 0.0000
La: 0.2500 0.7500 0.5000
La: 0.0000 0.0000 0.0000
Hg: 0.7500 0.2500 0.5000

Record 13
LaReHg3 | PBE-GGA | relaxed

Values from the calculation:
Offset from the most stable computed form: 598 kJ/mol of formula units
Total DFT energy (no corrections): -1.99 eV per atom
ΔH_f (0 K): 1661 meV per atom
Symmetry: No. 221
Calculated density: 7.14 g/cm3
Size of the total moment: 3.234 Bohr magnetons per cell

Cell: 5.9958 5.9958 5.9958 Å, 90.00 90.00 90.00°
Site moments in Bohr magnetons follow the coordinates.
Atoms (fractional coordinates):
Re: 0.5000 0.5000 0.5000  3.95
Hg: 0.0000 0.0000 0.5000  -0.02
Hg: 0.0000 0.5000 0.0000  -0.07
Hg: 0.5000 0.0000 0.0000  -0.13
La: 0.0000 0.0000 0.0000  -0.48

Record 14
La2ReHg | PBE-GGA | relaxed

Values from the calculation:
Offset from the most stable computed form: 125 kJ/mol of formula units
Total DFT energy (no corrections): -5.36 eV per atom
ΔH_f (0 K): 292 meV per atom
Symmetry: No. 122
Calculated density: 10.21 g/cm3
Size of the total moment: 0.000 Bohr magnetons per cell

Cell: 8.3526 8.3526 6.6693 Å, 51.23 51.23 90.00°
Atoms (fractional coordinates):
Re: 0.2500 0.7500 0.5000
Re: 0.5000 0.5000 0.0000
Hg: 0.7500 0.2500 0.5000
Hg: 0.0000 0.0000 0.0000
La: 0.1802 0.6250 0.2500
La: 0.3750 0.4302 0.7500
La: 0.5698 0.1250 0.2500
La: 0.8750 0.8198 0.7500

Record 15
La2ReHg | PBE-GGA | relaxed

Values from the calculation:
Offset from the most stable computed form: 73 kJ/mol of formula units
Total DFT energy (no corrections): -5.49 eV per atom
ΔH_f (0 K): 158 meV per atom
Symmetry: No. 12
Calculated density: 9.46 g/cm3
Size of the total moment: 0.000 Bohr magnetons per cell

Cell: 4.3168 4.3168 8.4398 Å, 81.43 81.43 48.76°
Atoms (fractional coordinates):
La: 0.4957 0.4957 0.5492
La: 0.0043 0.0043 0.9508
Re: 0.7500 0.7500 0.7500
Hg: 0.2500 0.2500 0.2500

Record 16
La2ReHg | PBE-GGA | relaxed

Values from the calculation:
Offset from the most stable computed form: 217 kJ/mol of formula units
Total DFT energy (no corrections): -5.12 eV per atom
ΔH_f (0 K): 531 meV per atom
Symmetry: No. 35
Calculated density: 10.81 g/cm3
Size of the total moment: 0.000 Bohr magnetons per cell

Cell: 3.2260 3.2260 10.7594 Å, 90.00 90.00 114.20°
Atoms (fractional coordinates):
Hg: 0.5000 0.5000 0.7164
La: 0.0000 0.0000 0.9742
La: 0.5000 0.5000 0.3043
Re: 0.0000 0.0000 0.5051

Record 17
La2ReHg | PBE-GGA | relaxed

Values from the calculation:
Offset from the most stable computed form: 0 kJ/mol of formula units
Total DFT energy (no corrections): -5.68 eV per atom
ΔH_f (0 K): -31 meV per atom
Symmetry: No. 123
Calculated density: 10.39 g/cm3
Size of the total moment: 0.000 Bohr magnetons per cell

Cell: 3.5753 3.5753 8.3103 Å, 90.00 90.00 90.00°
Atoms (fractional coordinates):
La: 0.0000 0.0000 0.4594
La: 0.0000 0.0000 0.0406
Hg: 0.5000 0.5000 0.7500
Re: 0.5000 0.5000 0.2500

Record 18
La2ReHg | PBE-GGA | relaxed

Values from the calculation:
Offset from the most stable computed form: 139 kJ/mol of formula units
Total DFT energy (no corrections): -5.32 eV per atom
ΔH_f (0 K): 329 meV per atom
Symmetry: No. 216
Calculated density: 11.75 g/cm3
Size of the total moment: 0.000 Bohr magnetons per cell

Cell: 5.1019 5.1019 5.1019 Å, 60.00 60.00 60.00°
Atoms (fractional coordinates):
Re: 0.7500 0.7500 0.7500
La: 0.0000 0.0000 0.0000
La: 0.2500 0.2500 0.2500
Hg: 0.5000 0.5000 0.5000

Record 19
La2ReHg | PBE-GGA | relaxed

Values from the calculation:
Offset from the most stable computed form: 61 kJ/mol of formula units
Total DFT energy (no corrections): -5.52 eV per atom
ΔH_f (0 K): 127 meV per atom
Symmetry: No. 6
Calculated density: 10.66 g/cm3
Size of the total moment: 0.000 Bohr magnetons per cell

Cell: 5.1628 3.7735 5.3126 Å, 89.92 90.00 90.00°
Atoms (fractional coordinates):
Hg: 0.5000 0.6245 0.8383
Re: 0.0000 0.6259 0.4269
La: 0.0000 0.1231 0.8796
La: 0.5000 0.1266 0.3552

Record 20
LaReHg4 | PBE-GGA | relaxed

Values from the calculation:
Total DFT energy (no corrections): -2.64 eV per atom
ΔH_f (0 K): 461 meV per atom
Symmetry: No. 216
Calculated density: 13.75 g/cm3
Size of the total moment: 0.001 Bohr magnetons per cell

Cell: 5.7750 5.7750 5.7750 Å, 60.00 60.00 60.00°
Atoms (fractional coordinates):
Hg: 0.3742 0.3742 0.8775
Hg: 0.3742 0.8775 0.3742
Hg: 0.8775 0.3742 0.3742
Hg: 0.3742 0.3742 0.3742
La: 0.7500 0.7500 0.7500
Re: 0.0000 0.0000 0.0000